Below is a PBEsol-optimized structure of CdBrO2, with properties calculated at the meta-GGA SCAN level.

Lattice parameters (Å, degrees): 3.4282 3.4282 18.4895 90.00 90.00 120.00
Space group R-3m (No. 166, hexagonal axes)
Unique sites:
1 Cd 0.0000 0.0000 0.0000 (multiplicity 3)
2 Br 0.0000 0.0000 0.5000 (multiplicity 3)
3 O 0.0000 0.0000 0.3944 (multiplicity 6)

The calculation puts the electronic total energy at -64.51 eV/f.u. Its calculated density is 5.9 g cm⁻³. Its total magnetization is 0.0 μB per formula unit. The calculation puts the energy above the most stable polymorph in this dataset at 0 meV per atom. The calculation puts the density of states at the Fermi level at 5.888 states/eV/cell.